(1)
{"formula": "TbYSN", "functional": "GGA-PBE", "state": "relaxed", "lattice": [[-0.8667, 3.1947, 1.5068], [-3.0235, 1.7374, -1.0334], [-4.5492, -1.3514, 4.6380]], "species": ["S", "Y", "N", "Tb"], "frac_coords": [[0.4996, 0.4996, 0.5011], [0.7364, 0.7364, 0.7908], [0.0003, 0.0003, 0.9992], [0.2637, 0.2637, 0.2088]], "spacegroup": "No. 160"}


(2)
{"formula": "Tc2SN2", "functional": "GGA-PBE", "state": "relaxed", "lattice": [[3.8594, 0.0000, 0.0000], [0.0000, 3.8594, 0.0000], [1.9297, 1.9297, 4.0677]], "species": ["N", "N", "S", "Tc", "Tc"], "frac_coords": [[0.6570, 0.6570, 0.6859], [0.3430, 0.3430, 0.3141], [0.0000, 0.0000, 0.0000], [0.2500, 0.7500, 0.5000], [0.7500, 0.2500, 0.5000]], "spacegroup": "No. 139"}


(3)
{"formula": "TcS2N", "functional": "GGA-PBE", "state": "relaxed", "lattice": [[2.0189, 0.0000, 5.7868], [-1.0094, 1.7484, 5.7868], [-1.0094, -1.7484, 5.7868]], "species": ["S", "S", "N", "Tc"], "frac_coords": [[0.9096, 0.9096, 0.9096], [0.0904, 0.0904, 0.0904], [0.0000, 0.0000, 0.0000], [0.5000, 0.5000, 0.5000]], "spacegroup": "No. 166"}


(4)
{"formula": "TcS3N", "functional": "GGA-PBE", "state": "relaxed", "lattice": [[-0.3984, -3.6227, 1.6643], [-0.5751, -1.6028, -3.6267], [3.9450, -0.5995, -0.3606]], "species": ["S", "S", "S", "N", "Tc"], "frac_coords": [[0.0000, 0.5000, 0.0000], [0.5000, 0.0000, 0.0000], [0.0000, 0.0000, 0.5000], [0.0000, 0.0000, 0.0000], [0.5000, 0.5000, 0.5000]], "spacegroup": "No. 221"}


(5)
{"formula": "TcSN2", "functional": "GGA-PBE", "state": "relaxed", "lattice": [[-4.8798, 1.8709, 0.2332], [-0.7628, -1.3675, -4.9916], [-4.2405, -3.6087, -1.1048]], "species": ["S", "S", "N", "N", "N", "N", "Tc", "Tc"], "frac_coords": [[0.5000, 0.5000, 0.0000], [0.2500, 0.7500, 0.5000], [0.7234, 0.1250, 0.2500], [0.0266, 0.6250, 0.2500], [0.8750, 0.9734, 0.7500], [0.3750, 0.2766, 0.7500], [0.7500, 0.2500, 0.5000], [0.0000, 0.0000, 0.0000]], "spacegroup": "No. 122"}


(6)
{"formula": "TcS2N2", "functional": "GGA-PBE", "state": "relaxed", "lattice": [[6.6998, 0.0000, 0.0000], [0.0000, 6.6998, 0.0000], [0.0000, 0.0000, 2.9297]], "species": ["Tc", "Tc", "N", "N", "N", "N", "S", "S", "S", "S"], "frac_coords": [[0.0000, 0.0000, 0.0000], [0.5000, 0.5000, 0.0000], [0.2810, 0.2190, 0.5000], [0.2190, 0.7190, 0.5000], [0.7190, 0.7810, 0.5000], [0.7810, 0.2810, 0.5000], [0.6800, 0.1800, 0.0000], [0.1800, 0.3200, 0.0000], [0.8200, 0.6800, 0.0000], [0.3200, 0.8200, 0.0000]], "spacegroup": "No. 127"}


(7)
{"formula": "Tc2SN2", "functional": "GGA-PBE", "state": "relaxed", "lattice": [[6.3659, 0.0000, 0.0000], [0.0000, 6.3659, 0.0000], [0.0000, 0.0000, 2.6772]], "species": ["Tc", "Tc", "Tc", "Tc", "S", "S", "N", "N", "N", "N"], "frac_coords": [[0.8460, 0.3460, 0.5000], [0.6540, 0.8460, 0.5000], [0.3460, 0.1540, 0.5000], [0.1540, 0.6540, 0.5000], [0.0000, 0.0000, 0.0000], [0.5000, 0.5000, 0.0000], [0.1224, 0.3776, 0.0000], [0.6224, 0.1224, 0.0000], [0.8776, 0.6224, 0.0000], [0.3776, 0.8776, 0.0000]], "spacegroup": "No. 127"}


(8)
{"formula": "TcS2N2", "functional": "GGA-PBE", "state": "relaxed", "lattice": [[3.5482, 0.0000, 0.0000], [0.0000, 3.5482, 0.0000], [0.0000, 0.0000, 4.6942]], "species": ["S", "S", "N", "N", "Tc"], "frac_coords": [[0.0000, 0.0000, 0.0000], [0.0000, 0.0000, 0.5000], [0.5000, 0.0000, 0.0000], [0.0000, 0.5000, 0.0000], [0.5000, 0.5000, 0.5000]], "spacegroup": "No. 123"}


Fermi-level density of states values (in states/eV/f.u.) by entry order: 1.2; 1.7; 2.8; 4.4; 2.5; 3.6; 4.3; 3.8.
Magnetization values (in μB per cell) by entry order: 0.00; 0.00; 1.27; 0.00; 0.00; 0.00; 0.00; 2.73.
Uncorrected formation energy values (in eV per formula unit) by entry order: -7.41; 2.23; 1.62; 6.09; 3.62; 5.89; 4.56; 8.35.